Record 1
VASP calculation (GGA-PBE) on a geometry-optimized BiSb2Pb structure.

Lattice parameters (Å, degrees): 4.4202 4.4202 23.6708 90.00 90.00 120.00
Closest atoms and distances in Å follow each position.
Space group R3m (No. 160, hexagonal axes)
Unique sites:
Bi 0.0000 0.0000 0.0000  6 Sb 3.10-3.32
Sb 0.0000 0.0000 0.4078  3 Bi 3.10, 3 Pb 3.35
Sb 0.0000 0.0000 0.5771  3 Pb 3.14, 3 Bi 3.32
Pb 0.0000 0.0000 0.8330  6 Sb 3.14-3.35

Output
* size of the total moment: 0.0 Bohr magnetons per cell
* DOS(E_F): 8.5 states/eV per cell
* formation energy without anion corrections: 0.08 eV/atom

***

Record 2
VASP calculation (GGA-PBE) on a geometry-optimized BiSbPb2 structure.

Lattice parameters (Å, degrees): 3.6249 3.6249 9.4514 90.00 90.00 90.00
Closest atoms and distances in Å follow each position.
Space group P4/mmm (No. 123)
Unique sites:
Bi 0.0000 0.0000 0.0000  8 Pb 3.55, 4 Bi 3.62
Sb 0.0000 0.0000 0.5000  8 Pb 3.42, 4 Sb 3.62
Pb 0.5000 0.5000 0.2602  4 Sb 3.42, 4 Bi 3.55, 4 Pb 3.62

Output
* size of the total moment: 0.0 Bohr magnetons per cell
* DOS(E_F): 2.1 states/eV per cell
* formation energy without anion corrections: 0.07 eV/atom

***

Record 3
VASP calculation (GGA-PBE) on a geometry-optimized BiSb2Pb4 structure.

Lattice parameters (Å, degrees): 9.7816 14.2096 14.2665 90.00 90.00 90.00
Closest atoms and distances in Å follow each position.
Space group Fddd (No. 70, origin choice 2)
Unique sites:
Bi 0.1250 0.1250 0.1250  8 Pb 3.27-3.53
Sb 0.0000 0.0000 0.5000  6 Pb 3.16-3.17
Pb 0.0653 0.2844 0.9649  3 Sb 3.16-3.17, 2 Bi 3.27-3.53

Output
* size of the total moment: 0.0 Bohr magnetons per cell
* DOS(E_F): 24.7 states/eV per cell
* formation energy without anion corrections: 0.06 eV/atom

***

Record 4
VASP calculation (GGA-PBE) on a geometry-optimized BiSbPb2 structure.

Lattice parameters (Å, degrees): 4.5010 26.7929 4.4127 90.00 90.00 90.00
Closest atoms and distances in Å follow each position.
Space group Cmcm (No. 63)
Unique sites:
Bi 0.0000 0.0478 0.2500  5 Pb 3.30-3.44, 2 Bi 3.38
Sb 0.0000 0.3010 0.2500  6 Pb 3.07-3.35
Pb 0.0000 0.1762 0.2500  5 Sb 3.21-3.35, 1 Bi 3.44
Pb 0.0000 0.4156 0.2500  1 Sb 3.07, 4 Bi 3.30

Output
* size of the total moment: 0.0 Bohr magnetons per cell
* DOS(E_F): 9.2 states/eV per cell
* formation energy without anion corrections: 0.06 eV/atom

***

Record 5
VASP calculation (GGA-PBE) on a geometry-optimized BiSbPb2 structure.

Lattice parameters (Å, degrees): 5.0209 5.0209 4.9081 90.00 90.00 90.00
Closest atoms and distances in Å follow each position.
Space group P4/mmm (No. 123)
Unique sites:
Bi 0.0000 0.0000 0.0000  8 Pb 3.51, 4 Sb 3.55
Sb 0.5000 0.5000 0.0000  8 Pb 3.51, 4 Bi 3.55
Pb 0.0000 0.5000 0.5000  4 Sb 3.51, 4 Bi 3.51, 4 Pb 3.55

Output
* size of the total moment: 0.0 Bohr magnetons per cell
* DOS(E_F): 2.4 states/eV per cell
* formation energy without anion corrections: 0.07 eV/atom

***

Record 6
VASP calculation (GGA-PBE) on a geometry-optimized Bi2Sb2Pb structure.

Lattice parameters (Å, degrees): 4.4692 4.4692 28.8037 90.00 90.00 120.00
Closest atoms and distances in Å follow each position.
Space group R-3m (No. 166, hexagonal axes)
Unique sites:
Bi 0.0000 0.0000 0.2041  3 Sb 3.14, 3 Bi 3.36
Sb 0.0000 0.0000 0.4006  3 Bi 3.14, 3 Pb 3.23
Pb 0.0000 0.0000 0.0000  6 Sb 3.23

Output
* size of the total moment: 0.0 Bohr magnetons per cell
* DOS(E_F): 6.7 states/eV per cell
* formation energy without anion corrections: 0.05 eV/atom

***

Record 7
VASP calculation (GGA-PBE) on a geometry-optimized BiSb2Pb2 structure.

Lattice parameters (Å, degrees): 4.4362 4.4362 16.4308 90.00 90.00 90.00
Closest atoms and distances in Å follow each position.
Space group I4/mmm (No. 139)
Unique sites:
Bi 0.0000 0.0000 0.0000  8 Sb 3.48
Sb 0.0000 0.0000 0.4077  1 Sb 3.03
Pb 0.0000 0.5000 0.2500  4 Pb 3.14, 4 Sb 3.41

Output
* size of the total moment: 0.0 Bohr magnetons per cell
* DOS(E_F): 4.0 states/eV per cell
* formation energy without anion corrections: 0.22 eV/atom

***

Record 8
VASP calculation (GGA-PBE) on a geometry-optimized Bi3SbPb structure.

Lattice parameters (Å, degrees): 5.8634 5.8634 5.8634 90.00 90.00 90.00
Closest atoms and distances in Å follow each position.
Space group Pm-3m (No. 221)
Unique sites:
Bi 0.0000 0.0000 0.5000  2 Sb 2.93
Sb 0.0000 0.0000 0.0000  6 Bi 2.93
Pb 0.5000 0.5000 0.5000  12 Bi 4.15

Output
* size of the total moment: 0.0 Bohr magnetons per cell
* DOS(E_F): 9.7 states/eV per cell
* formation energy without anion corrections: 0.62 eV/atom

***

Record 9
VASP calculation (GGA-PBE) on a geometry-optimized Bi2SbPb2 structure.

Lattice parameters (Å, degrees): 3.3955 6.9568 7.0969 87.11 77.67 81.66
Closest atoms and distances in Å follow each position.
Space group P-1 (No. 2)
Unique sites:
Bi 0.0126 0.2916 0.1025  3 Bi 3.18-3.40, 1 Sb 3.23, 2 Pb 3.29-3.45
Sb 0.0000 0.5000 0.5000  2 Bi 3.23, 4 Pb 3.27-3.40, 2 Sb 3.40
Pb 0.4359 0.8748 0.3102  2 Sb 3.27-3.40, 2 Bi 3.29-3.45, 3 Pb 3.40-3.42

Output
* size of the total moment: 0.0 Bohr magnetons per cell
* DOS(E_F): 2.9 states/eV per cell
* formation energy without anion corrections: 0.07 eV/atom

***

Record 10
VASP calculation (GGA-PBE) on a geometry-optimized Bi3SbPb5 structure.

Lattice parameters (Å, degrees): 12.6669 9.7120 11.8998 90.00 109.33 90.00
Closest atoms and distances in Å follow each position.
Space group C2/m (No. 12)
Unique sites:
Bi 0.0000 0.0000 0.0000  2 Sb 3.18, 4 Pb 3.24
Bi 0.0000 0.0000 0.5000  4 Pb 3.19-3.36, 2 Sb 3.23
Bi 0.1581 0.5000 0.0710  1 Sb 2.97, 3 Pb 3.23-3.32
Bi 0.2394 0.5000 0.6504  6 Pb 3.09-3.40
Sb 0.0994 0.0000 0.7873  3 Bi 2.97-3.23, 2 Pb 3.29
Pb 0.0000 0.3281 0.5000  3 Bi 3.19-3.40, 1 Pb 3.34
Pb 0.0668 0.5000 0.7833  2 Bi 3.09-3.23, 2 Pb 3.26
Pb 0.0861 0.2338 0.2046  3 Bi 3.24-3.32, 2 Pb 3.26-3.41, 1 Sb 3.29
Pb 0.2199 0.5000 0.3811  2 Bi 3.13-3.36, 2 Pb 3.41, 1 Sb 3.51

Output
* size of the total moment: 0.0 Bohr magnetons per cell
* DOS(E_F): 22.2 states/eV per cell
* formation energy without anion corrections: 0.19 eV/atom